Version a
# YSn2Br GGA-PBE optimized geometry
data_YSn2Br
_chemical_formula_sum 'Y1 Sn2 Br1'
_symmetry_space_group_name_H-M 'P 1'
_symmetry_Int_Tables_number 1
_cell_length_a 5.4354
_cell_length_b 5.4354
_cell_length_c 5.4354
_cell_angle_alpha 60.00
_cell_angle_beta 60.00
_cell_angle_gamma 60.00
loop_
_symmetry_equiv_pos_as_xyz
'x,y,z'
loop_
_atom_site_label
_atom_site_type_symbol
_atom_site_fract_x
_atom_site_fract_y
_atom_site_fract_z
_atom_site_occupancy
Sn1 Sn 0.2500 0.2500 0.2500 1
Sn2 Sn 0.7500 0.7500 0.7500 1
Y1 Y 0.5000 0.5000 0.5000 1
Br1 Br 0.0000 0.0000 0.0000 1
# Magnetization ... 0.000 μB per formula unit


Version b
# YSn2Br GGA-PBE optimized geometry
data_YSn2Br
_chemical_formula_sum 'Y2 Sn4 Br2'
_symmetry_space_group_name_H-M 'P 1'
_symmetry_Int_Tables_number 1
_cell_length_a 10.2032
_cell_length_b 10.2032
_cell_length_c 7.6985
_cell_angle_alpha 48.50
_cell_angle_beta 48.50
_cell_angle_gamma 90.00
loop_
_symmetry_equiv_pos_as_xyz
'x,y,z'
loop_
_atom_site_label
_atom_site_type_symbol
_atom_site_fract_x
_atom_site_fract_y
_atom_site_fract_z
_atom_site_occupancy
Sn1 Sn 0.3750 0.3071 0.7500 1
Sn2 Sn 0.8750 0.9429 0.7500 1
Sn3 Sn 0.0571 0.6250 0.2500 1
Sn4 Sn 0.6929 0.1250 0.2500 1
Br1 Br 0.2500 0.7500 0.5000 1
Br2 Br 0.5000 0.5000 0.0000 1
Y1 Y 0.7500 0.2500 0.5000 1
Y2 Y 0.0000 0.0000 0.0000 1
# Magnetization ... 0.000 μB per formula unit


version b takes first place; second place is 227 meV/atom up.


Version a
# ZnSn2Br GGA-PBE optimized geometry
data_ZnSn2Br
_chemical_formula_sum 'Zn1 Sn2 Br1'
_symmetry_space_group_name_H-M 'P 1'
_symmetry_Int_Tables_number 1
_cell_length_a 5.2206
_cell_length_b 5.2206
_cell_length_c 5.2206
_cell_angle_alpha 60.00
_cell_angle_beta 60.00
_cell_angle_gamma 60.00
loop_
_symmetry_equiv_pos_as_xyz
'x,y,z'
loop_
_atom_site_label
_atom_site_type_symbol
_atom_site_fract_x
_atom_site_fract_y
_atom_site_fract_z
_atom_site_occupancy
Br1 Br 0.5000 0.5000 0.5000 1
Zn1 Zn 0.0000 0.0000 0.0000 1
Sn1 Sn 0.2500 0.2500 0.2500 1
Sn2 Sn 0.7500 0.7500 0.7500 1
# Magnetization ... 0.000 μB per formula unit


Version b
# ZnSn2Br GGA-PBE optimized geometry
data_ZnSn2Br
_chemical_formula_sum 'Zn2 Sn4 Br2'
_symmetry_space_group_name_H-M 'P 1'
_symmetry_Int_Tables_number 1
_cell_length_a 6.3810
_cell_length_b 6.3810
_cell_length_c 8.1554
_cell_angle_alpha 66.97
_cell_angle_beta 66.97
_cell_angle_gamma 90.00
loop_
_symmetry_equiv_pos_as_xyz
'x,y,z'
loop_
_atom_site_label
_atom_site_type_symbol
_atom_site_fract_x
_atom_site_fract_y
_atom_site_fract_z
_atom_site_occupancy
Zn1 Zn 0.2500 0.7500 0.5000 1
Zn2 Zn 0.5000 0.5000 0.0000 1
Br1 Br 0.0000 0.0000 0.0000 1
Br2 Br 0.7500 0.2500 0.5000 1
Sn1 Sn 0.8750 0.8149 0.7500 1
Sn2 Sn 0.5649 0.1250 0.2500 1
Sn3 Sn 0.3750 0.4351 0.7500 1
Sn4 Sn 0.1851 0.6250 0.2500 1
# Magnetization ... 0.000 μB per formula unit


version a takes first place; second place is 22 meV/atom up.


Version a
# Zn2SnBr GGA-PBE optimized geometry
data_Zn2SnBr
_chemical_formula_sum 'Zn4 Sn2 Br2'
_symmetry_space_group_name_H-M 'P 1'
_symmetry_Int_Tables_number 1
_cell_length_a 6.3220
_cell_length_b 6.3220
_cell_length_c 7.5373
_cell_angle_alpha 65.20
_cell_angle_beta 65.20
_cell_angle_gamma 90.00
loop_
_symmetry_equiv_pos_as_xyz
'x,y,z'
loop_
_atom_site_label
_atom_site_type_symbol
_atom_site_fract_x
_atom_site_fract_y
_atom_site_fract_z
_atom_site_occupancy
Sn1 Sn 0.7500 0.2500 0.5000 1
Sn2 Sn 0.0000 0.0000 0.0000 1
Zn1 Zn 0.6396 0.1250 0.2500 1
Zn2 Zn 0.1104 0.6250 0.2500 1
Zn3 Zn 0.8750 0.8896 0.7500 1
Zn4 Zn 0.3750 0.3604 0.7500 1
Br1 Br 0.2500 0.7500 0.5000 1
Br2 Br 0.5000 0.5000 0.0000 1
# Magnetization ... 0.000 μB per formula unit


Version b
# Zn2SnBr GGA-PBE optimized geometry
data_Zn2SnBr
_chemical_formula_sum 'Zn2 Sn1 Br1'
_symmetry_space_group_name_H-M 'P 1'
_symmetry_Int_Tables_number 1
_cell_length_a 5.1104
_cell_length_b 5.1104
_cell_length_c 5.1104
_cell_angle_alpha 60.00
_cell_angle_beta 60.00
_cell_angle_gamma 60.00
loop_
_symmetry_equiv_pos_as_xyz
'x,y,z'
loop_
_atom_site_label
_atom_site_type_symbol
_atom_site_fract_x
_atom_site_fract_y
_atom_site_fract_z
_atom_site_occupancy
Zn1 Zn 0.2500 0.2500 0.2500 1
Zn2 Zn 0.7500 0.7500 0.7500 1
Br1 Br 0.0000 0.0000 0.0000 1
Sn1 Sn 0.5000 0.5000 0.5000 1
# Magnetization ... 0.000 μB per formula unit


version a takes first place; second place is 272 meV/atom up.


Version a
# Zr2SnBr GGA-PBE optimized geometry
data_Zr2SnBr
_chemical_formula_sum 'Zr4 Sn2 Br2'
_symmetry_space_group_name_H-M 'P 1'
_symmetry_Int_Tables_number 1
_cell_length_a 4.4428
_cell_length_b 4.4428
_cell_length_c 10.6076
_cell_angle_alpha 77.91
_cell_angle_beta 77.91
_cell_angle_gamma 90.00
loop_
_symmetry_equiv_pos_as_xyz
'x,y,z'
loop_
_atom_site_label
_atom_site_type_symbol
_atom_site_fract_x
_atom_site_fract_y
_atom_site_fract_z
_atom_site_occupancy
Zr1 Zr 0.8750 0.8795 0.7500 1
Zr2 Zr 0.6295 0.1250 0.2500 1
Zr3 Zr 0.1205 0.6250 0.2500 1
Zr4 Zr 0.3750 0.3705 0.7500 1
Sn1 Sn 0.0000 0.0000 0.0000 1
Sn2 Sn 0.7500 0.2500 0.5000 1
Br1 Br 0.5000 0.5000 0.0000 1
Br2 Br 0.2500 0.7500 0.5000 1
# Magnetization ... 0.000 μB per formula unit


Version b
# Zr2SnBr GGA-PBE optimized geometry
data_Zr2SnBr
_chemical_formula_sum 'Zr2 Sn1 Br1'
_symmetry_space_group_name_H-M 'P 1'
_symmetry_Int_Tables_number 1
_cell_length_a 4.9980
_cell_length_b 4.9980
_cell_length_c 4.9980
_cell_angle_alpha 60.00
_cell_angle_beta 60.00
_cell_angle_gamma 60.00
loop_
_symmetry_equiv_pos_as_xyz
'x,y,z'
loop_
_atom_site_label
_atom_site_type_symbol
_atom_site_fract_x
_atom_site_fract_y
_atom_site_fract_z
_atom_site_occupancy
Br1 Br 0.0000 0.0000 0.0000 1
Zr1 Zr 0.2500 0.2500 0.2500 1
Zr2 Zr 0.7500 0.7500 0.7500 1
Sn1 Sn 0.5000 0.5000 0.5000 1
# Magnetization ... 0.000 μB per formula unit


version b takes first place; second place is 499 meV/atom up.


Version a
# Zr2Sn2Br GGA-PBE optimized geometry
data_Zr2Sn2Br
_chemical_formula_sum 'Zr2 Sn2 Br1'
_symmetry_space_group_name_H-M 'P 1'
_symmetry_Int_Tables_number 1
_cell_length_a 5.3582
_cell_length_b 5.3582
_cell_length_c 6.2842
_cell_angle_alpha 64.77
_cell_angle_beta 64.77
_cell_angle_gamma 90.00
loop_
_symmetry_equiv_pos_as_xyz
'x,y,z'
loop_
_atom_site_label
_atom_site_type_symbol
_atom_site_fract_x
_atom_site_fract_y
_atom_site_fract_z
_atom_site_occupancy
Sn1 Sn 0.3599 0.3599 0.2802 1
Sn2 Sn 0.6401 0.6401 0.7198 1
Zr1 Zr 0.7500 0.2500 0.5000 1
Zr2 Zr 0.2500 0.7500 0.5000 1
Br1 Br 0.0000 0.0000 0.0000 1
# Magnetization ... 0.000 μB per formula unit


Version b
# Zr2Sn2Br GGA-PBE optimized geometry
data_Zr2Sn2Br
_chemical_formula_sum 'Zr4 Sn4 Br2'
_symmetry_space_group_name_H-M 'P 1'
_symmetry_Int_Tables_number 1
_cell_length_a 8.9447
_cell_length_b 8.9447
_cell_length_c 3.2021
_cell_angle_alpha 90.00
_cell_angle_beta 90.00
_cell_angle_gamma 90.00
loop_
_symmetry_equiv_pos_as_xyz
'x,y,z'
loop_
_atom_site_label
_atom_site_type_symbol
_atom_site_fract_x
_atom_site_fract_y
_atom_site_fract_z
_atom_site_occupancy
Sn1 Sn 0.3525 0.8525 0.0000 1
Sn2 Sn 0.8525 0.6475 0.0000 1
Sn3 Sn 0.6475 0.1475 0.0000 1
Sn4 Sn 0.1475 0.3525 0.0000 1
Br1 Br 0.0000 0.0000 0.0000 1
Br2 Br 0.5000 0.5000 0.0000 1
Zr1 Zr 0.3531 0.1469 0.5000 1
Zr2 Zr 0.6469 0.8531 0.5000 1
Zr3 Zr 0.1469 0.6469 0.5000 1
Zr4 Zr 0.8531 0.3531 0.5000 1
# Magnetization ... 0.000 μB per formula unit


Version c
# Zr2Sn2Br GGA-PBE optimized geometry
data_Zr2Sn2Br
_chemical_formula_sum 'Zr4 Sn4 Br2'
_symmetry_space_group_name_H-M 'P 1'
_symmetry_Int_Tables_number 1
_cell_length_a 7.8271
_cell_length_b 7.8271
_cell_length_c 3.9368
_cell_angle_alpha 90.00
_cell_angle_beta 90.00
_cell_angle_gamma 90.00
loop_
_symmetry_equiv_pos_as_xyz
'x,y,z'
loop_
_atom_site_label
_atom_site_type_symbol
_atom_site_fract_x
_atom_site_fract_y
_atom_site_fract_z
_atom_site_occupancy
Zr1 Zr 0.1663 0.3337 0.0000 1
Zr2 Zr 0.6663 0.1663 0.0000 1
Zr3 Zr 0.3337 0.8337 0.0000 1
Zr4 Zr 0.8337 0.6663 0.0000 1
Br1 Br 0.5000 0.5000 0.0000 1
Br2 Br 0.0000 0.0000 0.0000 1
Sn1 Sn 0.3679 0.1321 0.5000 1
Sn2 Sn 0.6321 0.8679 0.5000 1
Sn3 Sn 0.8679 0.3679 0.5000 1
Sn4 Sn 0.1321 0.6321 0.5000 1
# Magnetization ... 0.000 μB per formula unit


version c takes first place; second place is 291 meV/atom up.